[1]
## SmGdZnSb (PBE)

Data for SmGdZnSb after structural relaxation.

```
SmGdZnSb
1.0
5.278 0.000 0.000
2.639 4.570 0.000
2.639 1.523 4.309
Gd Zn Sb Sm
1 1 1 1
Direct
0.250 0.250 0.250
0.500 0.500 0.500
0.000 0.000 0.000
0.750 0.750 0.750
```

Output
Raw total energy, eV per formula unit: -26.47

[2]
## Gd2SnSb (PBE)

Data for Gd2SnSb after structural relaxation.

```
Gd2SnSb
1.0
3.579 0.000 0.000
0.000 3.579 0.000
0.000 0.000 8.575
Gd Sn Sb
2 1 1
Direct
0.000 0.000 0.755
0.000 0.000 0.245
0.500 0.500 0.500
0.500 0.500 0.000
```

Output
Raw total energy, eV per formula unit: -39.34

[3]
## Gd2SnSb (PBE)

Data for Gd2SnSb after structural relaxation.

```
Gd2SnSb
1.0
4.282 0.000 0.000
2.141 3.708 0.000
2.141 1.236 7.763
Gd Sb Sn
2 1 1
Direct
0.247 0.247 0.260
0.753 0.753 0.740
0.500 0.500 0.500
0.000 0.000 0.000
```

Output
Raw total energy, eV per formula unit: -39.66

[4]
## SrGdSb2 (PBE)

Data for SrGdSb2 after structural relaxation.

```
SrGdSb2
1.0
-0.403 -4.250 -1.459
2.983 -1.665 -2.947
5.311 -4.414 4.416
Sb Gd Sr
2 1 1
Direct
0.258 0.258 0.226
0.742 0.742 0.774
0.000 0.000 0.000
0.500 0.500 0.500
```

Output
Raw total energy, eV per formula unit: -27.83

[5]
## SrGdSb2 (PBE)

Data for SrGdSb2 after structural relaxation.

```
SrGdSb2
1.0
3.818 0.000 0.000
0.000 3.818 0.000
0.000 0.000 8.383
Sb Sr Gd
2 1 1
Direct
0.000 0.000 0.269
0.000 0.000 0.731
0.500 0.500 0.000
0.500 0.500 0.500
```

Output
Raw total energy, eV per formula unit: -27.45

[6]
## GdTaSb2 (PBE)

Data for GdTaSb2 after structural relaxation.

```
GdTaSb2
1.0
-1.761 2.084 -2.144
-2.197 -1.354 -2.320
-9.030 0.866 5.451
Sb Ta Gd
2 1 1
Direct
0.898 0.898 0.306
0.102 0.102 0.694
0.500 0.500 0.500
0.000 0.000 0.000
```

Output
Raw total energy, eV per formula unit: -33.99

[7]
## TbGdSb2 (PBE)

Data for TbGdSb2 after structural relaxation.

```
TbGdSb2
1.0
4.410 0.000 0.000
2.205 3.819 0.000
2.205 1.273 7.204
Tb Gd Sb
1 1 2
Direct
0.500 0.500 0.500
0.000 0.000 0.000
0.750 0.750 0.750
0.250 0.250 0.250
```

Output
Raw total energy, eV per formula unit: -31.60

[8]
## TbGdSb (PBE)

Data for TbGdSb after structural relaxation.

```
TbGdSb
1.0
4.027 0.000 0.000
0.000 5.081 0.000
0.000 -2.541 4.400
Tb Gd Sb
1 1 1
Direct
0.081 0.000 0.000
0.612 0.667 0.333
0.307 0.333 0.667
```

Output
Raw total energy, eV per formula unit: -24.19

[9]
## TbGdSb (PBE)

Data for TbGdSb after structural relaxation.

```
TbGdSb
1.0
4.018 0.000 0.000
0.000 4.018 0.000
-2.009 -2.009 5.266
Tb Gd Sb
1 1 1
Direct
0.963 0.963 0.927
0.272 0.272 0.544
0.615 0.615 0.230
```

Output
Raw total energy, eV per formula unit: -24.86

[10]
## Gd2SbTe (PBE)

Data for Gd2SbTe after structural relaxation.

```
Gd2SbTe
1.0
4.430 0.000 0.000
2.215 3.837 0.000
2.215 1.279 7.221
Te Sb Gd
1 1 2
Direct
0.500 0.500 0.500
0.000 0.000 0.000
0.253 0.253 0.241
0.747 0.747 0.759
```

Output
Raw total energy, eV per formula unit: -40.73

[11]
## GdSbTe2 (PBE)

Data for GdSbTe2 after structural relaxation.

```
GdSbTe2
1.0
-0.864 4.148 -0.266
-2.523 1.449 -3.092
-8.897 0.617 4.634
Gd Sb Te
1 1 2
Direct
0.000 0.000 0.000
0.500 0.500 0.500
0.896 0.896 0.313
0.104 0.104 0.687
```

Output
Raw total energy, eV per formula unit: -24.93

[12]
## GdThSbTe (PBE)

Data for GdThSbTe after structural relaxation.

```
GdThSbTe
1.0
-1.742 -4.594 2.297
2.246 -4.741 -1.376
3.160 -2.632 3.536
Te Sb Th Gd
1 1 1 1
Direct
0.000 0.000 0.000
0.500 0.500 0.500
0.250 0.250 0.250
0.750 0.750 0.750
```

Output
Raw total energy, eV per formula unit: -32.87

[13]
## GdTh2Sb (PBE)

Data for GdTh2Sb after structural relaxation.

```
GdTh2Sb
1.0
5.546 0.000 0.000
2.773 4.803 0.000
2.773 1.601 4.529
Gd Sb Th
1 1 2
Direct
0.000 0.000 0.000
0.500 0.500 0.500
0.250 0.250 0.250
0.750 0.750 0.750
```

Output
Raw total energy, eV per formula unit: -33.60

[14]
## GdTh2Sb (PBE)

Data for GdTh2Sb after structural relaxation.

```
GdTh2Sb
1.0
-1.114 -3.947 3.085
2.462 -2.915 -2.841
3.938 0.863 2.526
Gd Th Sb
1 2 1
Direct
0.500 0.500 0.500
0.000 0.500 0.000
0.000 0.000 0.500
0.500 0.000 0.000
```

Output
Raw total energy, eV per formula unit: -34.79

[15]
## GdThSb2 (PBE)

Data for GdThSb2 after structural relaxation.

```
GdThSb2
1.0
3.859 0.000 0.000
0.000 5.433 0.000
0.000 0.000 5.433
Gd Sb Th
1 2 1
Direct
0.500 0.500 0.500
0.000 0.000 0.500
0.000 0.500 0.000
0.500 0.000 0.000
```

Output
Raw total energy, eV per formula unit: -33.12

[16]
## GdThSb2 (PBE)

Data for GdThSb2 after structural relaxation.

```
GdThSb2
1.0
-2.087 -3.484 -3.620
-3.875 -3.504 1.518
-5.102 0.651 -1.774
Th Sb Gd
1 2 1
Direct
0.000 0.000 0.000
0.250 0.250 0.250
0.750 0.750 0.750
0.500 0.500 0.500
```

Output
Raw total energy, eV per formula unit: -33.08

[17]
## GdThSb2 (PBE)

Data for GdThSb2 after structural relaxation.

```
GdThSb2
1.0
-4.415 -0.394 0.589
-1.596 -2.619 3.253
-1.894 4.637 5.877
Sb Gd Th
2 1 1
Direct
0.252 0.252 0.244
0.748 0.748 0.756
0.000 0.000 0.000
0.500 0.500 0.500
```

Output
Raw total energy, eV per formula unit: -33.95

[18]
## GdTlSb2 (PBE)

Data for GdTlSb2 after structural relaxation.

```
GdTlSb2
1.0
4.434 0.000 0.000
0.000 4.999 0.000
0.000 0.000 4.999
Gd Tl Sb
1 1 2
Direct
0.500 0.000 0.000
0.500 0.500 0.500
0.000 0.000 0.500
0.000 0.500 0.000
```

Output
Raw total energy, eV per formula unit: -26.53

[19]
## Gd2TlSb (PBE)

Data for Gd2TlSb after structural relaxation.

```
Gd2TlSb
1.0
4.213 0.000 0.000
2.107 3.649 0.000
2.107 1.216 8.059
Sb Gd Tl
1 2 1
Direct
0.000 0.000 0.000
0.256 0.256 0.232
0.744 0.744 0.768
0.500 0.500 0.500
```

Output
Raw total energy, eV per formula unit: -37.31

[20]
## GdTlSb2 (PBE)

Data for GdTlSb2 after structural relaxation.

```
GdTlSb2
1.0
4.606 0.000 0.000
2.303 3.989 0.000
2.303 1.330 7.163
Sb Tl Gd
2 1 1
Direct
0.259 0.259 0.223
0.741 0.741 0.777
0.500 0.500 0.500
0.000 0.000 0.000
```

Output
Raw total energy, eV per formula unit: -25.93

no.,spin magnetization (μB/f.u.)
1,7.4
2,14.9
3,14.0
4,6.7
5,7.1
6,7.7
7,7.1
8,7.3
9,8.1
10,13.8
11,7.2
12,8.1
13,8.7
14,7.2
15,7.7
16,7.9
17,6.9
18,6.9
19,14.3
20,7.0